Cr2InRe (GGA-PBE, optimized geometry); energy of formation from the pure elements = 0.317 eV/atom; SG = P4mm, No. 99
1.0
2.9240 0.0000 0.0000
0.0000 2.9240 0.0000
0.0000 0.0000 7.0320
Cr In Re
2 1 1
direct
0.0000 0.0000 0.0000
0.5000 0.5000 0.1893
0.0000 0.0000 0.4782
0.5000 0.5000 0.7832

***

HPbSCl (GGA-PBE, optimized geometry); SG = Cm, No. 8; raw total energy = -3.8643 eV/atom
1.0
3.9203 -2.2808 0.0000
3.9203 2.2808 0.0000
-2.7178 0.0000 6.6231
H Pb S Cl
1 1 1 1
direct
0.0000 0.0000 0.0000
0.5327 0.5327 0.5938
0.9353 0.9353 0.7944
0.1157 0.1157 0.3634

***

LaTh2Pb9 (GGA-PBE, optimized geometry); energy of formation from the pure elements = -0.300 eV/atom; SG = P4/mmm, No. 123
1.0
4.9228 0.0000 0.0000
0.0000 4.9228 0.0000
0.0000 0.0000 14.8041
La Th Pb
1 2 9
direct
0.0000 0.0000 0.0000
0.0000 0.0000 0.3365
0.0000 0.0000 0.6635
0.0000 0.5000 0.1692
0.0000 0.5000 0.5000
0.0000 0.5000 0.8308
0.5000 0.0000 0.1692
0.5000 0.0000 0.5000
0.5000 0.0000 0.8308
0.5000 0.5000 0.0000
0.5000 0.5000 0.3340
0.5000 0.5000 0.6660

***

BaHoSe2 (GGA-PBE, optimized geometry); formation energy without anion corrections = -1.865 eV/atom; SG = R-3m, No. 166
1.0
2.1336 1.2318 7.3943
-2.1336 1.2318 7.3943
0.0000 -2.4636 7.3943
Ba Ho Se
1 1 2
direct
0.0000 0.0000 0.0000
0.5000 0.5000 0.5000
0.2367 0.2367 0.2367
0.7633 0.7633 0.7633

***

CaPbSe (GGA-PBE, optimized geometry); formation energy without anion corrections = -0.988 eV/atom; SG = P2_1/m, No. 11
1.0
5.8152 0.0000 0.0000
0.0000 5.4082 0.0000
-1.6989 0.0000 6.0424
Ca Pb Se
2 2 2
direct
0.2486 0.2500 0.0403
0.7514 0.7500 0.9597
0.3173 0.7500 0.4386
0.6827 0.2500 0.5614
0.2299 0.7500 0.8890
0.7701 0.2500 0.1110

***

NdDy6Ho (GGA-PBE, optimized geometry); energy of formation from the pure elements = 0.022 eV/atom; SG = P4/mmm, No. 123
1.0
5.0328 0.0000 0.0000
0.0000 5.0328 0.0000
0.0000 0.0000 10.0499
Nd Dy Ho
1 6 1
direct
0.0000 0.0000 0.0000
0.0000 0.5000 0.2526
0.0000 0.5000 0.7474
0.5000 0.0000 0.2526
0.5000 0.0000 0.7474
0.5000 0.5000 0.0000
0.5000 0.5000 0.5000
0.0000 0.0000 0.5000

***

K4Np3CuSe8 (GGA-PBE, optimized geometry); formation energy without anion corrections = -1.082 eV/atom; SG = C2/m, No. 12
1.0
7.2664 -4.1855 0.0000
7.2664 4.1855 0.0000
-4.8428 0.0000 7.6374
K Np Cu Se
4 3 1 8
direct
0.0000 0.0000 0.0000
0.0000 0.5000 0.0000
0.5000 0.0000 0.0000
0.5000 0.5000 0.0000
0.0000 0.0000 0.5000
0.0000 0.5000 0.5000
0.5000 0.0000 0.5000
0.5000 0.5000 0.5000
0.2351 0.7308 0.6971
0.2355 0.2355 0.7070
0.2671 0.2671 0.3013
0.2692 0.7649 0.3029
0.7308 0.2351 0.6971
0.7329 0.7329 0.6987
0.7645 0.7645 0.2930
0.7649 0.2692 0.3029

***

Pu2CCl (GGA-PBE, optimized geometry); formation energy without anion corrections = -0.673 eV/atom; SG = R3m, No. 160
1.0
1.7513 1.0111 7.3841
-1.7513 1.0111 7.3841
0.0000 -2.0222 7.3841
Pu C Cl
2 1 1
direct
0.0000 0.0000 0.0000
0.2057 0.2057 0.2057
0.6023 0.6023 0.6023
0.4343 0.4343 0.4343

***

Sm2Zn5PdRu2 (GGA-PBE, optimized geometry); energy of formation from the pure elements = -0.253 eV/atom; SG = P4/mbm, No. 127
1.0
10.1643 0.0000 0.0000
0.0000 10.1643 0.0000
0.0000 0.0000 3.4593
Sm Zn Pd Ru
4 10 2 4
direct
0.1794 0.3206 0.0000
0.3206 0.8206 0.0000
0.6794 0.1794 0.0000
0.8206 0.6794 0.0000
0.0000 0.5000 0.5000
0.0532 0.8094 0.5000
0.1906 0.0532 0.5000
0.3094 0.5532 0.5000
0.4468 0.3094 0.5000
0.5000 0.0000 0.5000
0.5532 0.6906 0.5000
0.6906 0.4468 0.5000
0.8094 0.9468 0.5000
0.9468 0.1906 0.5000
0.0000 0.0000 0.0000
0.5000 0.5000 0.0000
0.1316 0.6316 0.0000
0.3684 0.1316 0.0000
0.6316 0.8684 0.0000
0.8684 0.3684 0.0000

***

What are the total magnetization values for these records? In order: 0.34; 0.00; 0.00; 0.00; 0.00; 0.00; 0.62; 0.01; 0.00 μB per atom.